MnPWO2 | PBE+U | optimized geometry

Computed properties:
relative energy among the computed polymorphs = 0 meV per atom
space group = P4/mmm

a = 3.889 Å, b = 3.889 Å, c = 5.263 Å
α = 90.00°, β = 90.00°, γ = 90.00°
Positions (direct):
P: 0.000 0.000 0.500
Mn: 0.500 0.500 0.500
O: 0.000 0.500 0.000
O: 0.500 0.000 0.000
W: 0.000 0.000 0.000